(1)
# LaNd8Tm6

An optimized crystal structure of LaNd8Tm6 (PBE, Alexandria via LeMat-Bulk).

Total DFT energy (no corrections)   -4.4499 eV/atom
Energy relative to the elements   210 meV per atom
Magnetic moment   0.000 μB/f.u.

Structure (POSCAR):
```
LaNd8Tm6
1.0
9.457 0.000 0.000
-4.728 8.190 0.000
0.000 0.000 6.678
La Nd Tm
1 8 6
direct
0.000 0.000 0.000 La
0.008 0.690 0.384 Nd
0.310 0.318 0.384 Nd
0.318 0.008 0.616 Nd
0.333 0.667 0.671 Nd
0.667 0.333 0.329 Nd
0.682 0.992 0.384 Nd
0.690 0.682 0.616 Nd
0.992 0.310 0.616 Nd
0.083 0.409 0.110 Tm
0.326 0.917 0.110 Tm
0.409 0.326 0.890 Tm
0.591 0.674 0.110 Tm
0.674 0.083 0.890 Tm
0.917 0.591 0.890 Tm
```

(2)
# LaNd3Tm8

An optimized crystal structure of LaNd3Tm8 (PBE, Alexandria via LeMat-Bulk).

Total DFT energy (no corrections)   -4.2956 eV/atom
Energy relative to the elements   288 meV per atom
Magnetic moment   0.000 μB/f.u.

Structure (POSCAR):
```
LaNd3Tm8
1.0
-3.175 5.696 5.717
3.175 -5.696 5.717
3.175 5.696 -5.717
La Nd Tm
1 3 8
direct
0.000 0.000 0.000 La
0.252 0.500 0.752 Nd
0.500 0.000 0.500 Nd
0.748 0.500 0.248 Nd
0.076 0.825 0.250 Tm
0.252 0.003 0.751 Tm
0.252 0.501 0.249 Tm
0.425 0.175 0.250 Tm
0.575 0.825 0.750 Tm
0.748 0.499 0.751 Tm
0.748 0.997 0.249 Tm
0.924 0.175 0.750 Tm
```

(3)
# La5Nd5Tm2

An optimized crystal structure of La5Nd5Tm2 (PBE, Alexandria via LeMat-Bulk).

Total DFT energy (no corrections)   -4.7640 eV/atom
Energy relative to the elements   21 meV per atom
Magnetic moment   0.000 μB/f.u.

Structure (POSCAR):
```
La5Nd5Tm2
1.0
7.837 -2.606 0.000
7.837 2.606 0.000
-5.215 0.000 10.322
La Nd Tm
5 5 2
direct
0.000 0.000 0.000 La
0.081 0.081 0.745 La
0.250 0.250 0.255 La
0.750 0.750 0.745 La
0.919 0.919 0.255 La
0.333 0.333 0.001 Nd
0.414 0.414 0.744 Nd
0.500 0.500 0.500 Nd
0.586 0.586 0.256 Nd
0.667 0.667 0.999 Nd
0.169 0.169 0.500 Tm
0.831 0.831 0.500 Tm
```

(4)
# LaNdTm2

An optimized crystal structure of LaNdTm2 (PBE, Alexandria via LeMat-Bulk).

Distance to the lowest polymorph of the same formula   9.1 meV/atom
Total DFT energy (no corrections)   -4.6328 eV/atom
Energy relative to the elements   27 meV per atom
Magnetic moment   0.000 μB/f.u.

Structure (POSCAR):
```
LaNdTm2
1.0
1.809 1.045 11.633
-1.809 1.045 11.633
0.000 -2.089 11.633
La Nd Tm
1 1 2
direct
0.000 0.000 0.000 La
0.834 0.834 0.834 Nd
0.417 0.417 0.417 Tm
0.583 0.583 0.583 Tm
```

(5)
# LaNd4Tm5

An optimized crystal structure of LaNd4Tm5 (PBE, Alexandria via LeMat-Bulk).

Total DFT energy (no corrections)   -4.6137 eV/atom
Energy relative to the elements   22 meV per atom
Magnetic moment   0.000 μB/f.u.

Structure (POSCAR):
```
LaNd4Tm5
1.0
3.620 0.000 0.000
0.000 3.620 0.000
0.000 0.000 24.981
La Nd Tm
1 4 5
direct
0.000 0.000 0.000 La
0.000 0.000 0.201 Nd
0.000 0.000 0.400 Nd
0.000 0.000 0.600 Nd
0.000 0.000 0.799 Nd
0.500 0.500 0.102 Tm
0.500 0.500 0.301 Tm
0.500 0.500 0.500 Tm
0.500 0.500 0.699 Tm
0.500 0.500 0.898 Tm
```

(6)
# LaNd12Tm7

An optimized crystal structure of LaNd12Tm7 (PBE, Alexandria via LeMat-Bulk).

Distance to the lowest polymorph of the same formula   0.0 meV/atom
Total DFT energy (no corrections)   -4.5226 eV/atom
Energy relative to the elements   150 meV per atom
Magnetic moment   0.000 μB/f.u.

Structure (POSCAR):
```
LaNd12Tm7
1.0
7.629 4.405 3.378
-7.629 4.405 3.378
0.000 -8.809 3.378
La Nd Tm
1 12 7
direct
0.000 0.000 0.000 La
0.053 0.297 0.409 Nd
0.220 0.671 0.375 Nd
0.297 0.409 0.053 Nd
0.329 0.625 0.780 Nd
0.375 0.220 0.671 Nd
0.409 0.053 0.297 Nd
0.591 0.947 0.703 Nd
0.625 0.780 0.329 Nd
0.671 0.375 0.220 Nd
0.703 0.591 0.947 Nd
0.780 0.329 0.625 Nd
0.947 0.703 0.591 Nd
0.008 0.895 0.321 Tm
0.105 0.679 0.992 Tm
0.321 0.008 0.895 Tm
0.500 0.500 0.500 Tm
0.679 0.992 0.105 Tm
0.895 0.321 0.008 Tm
0.992 0.105 0.679 Tm
```